Arrangement one

Here is crystalline Sr3TlO4 at its relaxed geometry from Alexandria. Energies are from GGA-PBE.

Values from the calculation:
Its magnetic moment is 0.000 μB/atom. As for the space group: Pmmn.

Unit cell a=5.1218 b=7.4739 c=8.6234 alpha=90.00 beta=90.00 gamma=90.00
Sites, in units of the cell vectors:
Sr  0.5644  0.8435  0.0000
Sr  0.0644  0.6688  0.2514
Sr  0.5644  0.3312  0.2486
Sr  0.0644  0.1565  0.5000
Sr  0.5644  0.3312  0.7514
Sr  0.0644  0.6688  0.7486
Tl  0.0644  0.1712  0.0000
Tl  0.5644  0.8288  0.5000
O  0.0644  0.8342  0.0000
O  0.5645  0.1721  0.0000
O  0.0644  0.3357  0.2575
O  0.5644  0.6643  0.2425
O  0.0645  0.8279  0.5000
O  0.5644  0.1658  0.5000
O  0.5644  0.6643  0.7575
O  0.0644  0.3357  0.7425

Arrangement two

Here is crystalline Sr3TlO4 at its relaxed geometry from Alexandria. Energies are from GGA-PBE.

Values from the calculation:
Its magnetic moment is 0.000 μB/atom. As for the space group: R3m.

Unit cell a=5.1899 b=5.1899 c=5.1899 alpha=89.99 beta=89.99 gamma=89.99
Sites, in units of the cell vectors:
Sr  0.2503  0.7503  0.7502
Sr  0.7502  0.2503  0.7503
Sr  0.7503  0.7502  0.2503
Tl  0.2506  0.2506  0.2506
O  0.7504  0.7504  0.7504
O  0.7482  0.2499  0.2501
O  0.2501  0.7482  0.2499
O  0.2499  0.2501  0.7482

Relative energy table, unit meV/atom: arrangement one 53; arrangement two 0

Arrangement one

Here is crystalline Sr3Tl2O6 at its relaxed geometry from Alexandria. Energies are from GGA-PBE.

Values from the calculation:
Its magnetic moment is 0.000 μB/atom. As for the space group: I4/mmm.

Unit cell a=4.3039 b=4.3039 c=10.8003 alpha=101.49 beta=101.49 gamma=90.00
Sites, in units of the cell vectors:
Sr  0.0000  0.0000  0.0000
Sr  0.8175  0.8175  0.6350
Sr  0.1825  0.1825  0.3650
Tl  0.3998  0.3998  0.7995
Tl  0.6002  0.6002  0.2005
O  0.0788  0.5788  0.1576
O  0.5788  0.0788  0.1576
O  0.9212  0.4212  0.8424
O  0.4212  0.9212  0.8424
O  0.7053  0.7053  0.4107
O  0.2947  0.2947  0.5893

Arrangement two

Here is crystalline Sr3Tl2O6 at its relaxed geometry from Alexandria. Energies are from GGA-PBE.

Values from the calculation:
Its magnetic moment is 0.000 μB/atom. As for the space group: Pbam.

Unit cell a=3.5285 b=12.0199 c=17.2172 alpha=90.00 beta=90.00 gamma=90.00
Sites, in units of the cell vectors:
O  0.0000  0.0621  0.8463
O  0.0000  0.9379  0.1537
O  0.0000  0.4379  0.3463
O  0.0000  0.5621  0.6537
O  0.0000  0.5000  0.0000
O  0.0000  0.0000  0.5000
O  0.0000  0.2871  0.5660
O  0.0000  0.7129  0.4340
O  0.0000  0.2129  0.0660
O  0.0000  0.7871  0.9340
O  0.5000  0.0000  0.0000
O  0.5000  0.5000  0.5000
O  0.5000  0.2874  0.9038
O  0.5000  0.7126  0.0962
O  0.5000  0.2126  0.4038
O  0.5000  0.7874  0.5962
O  0.5000  0.0278  0.6700
O  0.5000  0.9722  0.3300
O  0.5000  0.4722  0.1700
O  0.5000  0.5278  0.8300
O  0.0000  0.3148  0.7388
O  0.0000  0.6852  0.2612
O  0.0000  0.1852  0.2388
O  0.0000  0.8148  0.7612
Sr  0.5000  0.1757  0.7746
Sr  0.5000  0.8243  0.2254
Sr  0.5000  0.3243  0.2746
Sr  0.5000  0.6757  0.7254
Sr  0.5000  0.1331  0.5413
Sr  0.5000  0.8669  0.4587
Sr  0.5000  0.3669  0.0413
Sr  0.5000  0.6331  0.9587
Sr  0.5000  0.4045  0.6463
Sr  0.5000  0.5955  0.3537
Sr  0.5000  0.0955  0.1463
Sr  0.5000  0.9045  0.8537
Tl  0.0000  0.1323  0.9578
Tl  0.0000  0.8677  0.0422
Tl  0.0000  0.3677  0.4578
Tl  0.0000  0.6323  0.5422
Tl  0.0000  0.0904  0.3528
Tl  0.0000  0.9096  0.6472
Tl  0.0000  0.4096  0.8528
Tl  0.0000  0.5904  0.1472

Relative energy table, unit meV/atom: arrangement one 122; arrangement two 0

Arrangement one

Here is crystalline Sr2TlO at its relaxed geometry from Alexandria. Energies are from GGA-PBE.

Values from the calculation:
Its magnetic moment is 0.384 μB/atom. As for the space group: Fm-3m.

Unit cell a=5.4216 b=5.4216 c=5.4216 alpha=60.00 beta=60.00 gamma=60.00
Each line ends with the local moment (μB).
Sites, in units of the cell vectors:
Sr  0.2500  0.2500  0.2500  0.09
Sr  0.7500  0.7500  0.7500  0.09
Tl  0.5000  0.5000  0.5000  0.28
O  0.0000  0.0000  0.0000  0.27

Arrangement two

Here is crystalline Sr2TlO at its relaxed geometry from Alexandria. Energies are from GGA-PBE.

Values from the calculation:
Its magnetic moment is 0.163 μB/atom. As for the space group: R-3m.

Unit cell a=3.7599 b=3.7599 c=9.9395 alpha=79.10 beta=79.10 gamma=60.00
Each line ends with the local moment (μB).
Sites, in units of the cell vectors:
Sr  0.1158  0.1158  0.6525  0.08
Sr  0.8842  0.8842  0.3475  0.08
Tl  0.0000  0.0000  0.0000  0.01
O  0.5000  0.5000  0.5000  0.01

Arrangement three

Here is crystalline Sr2TlO at its relaxed geometry from Alexandria. Energies are from GGA-PBE.

Values from the calculation:
Its magnetic moment is 0.000 μB/atom. As for the space group: I-42d.

Unit cell a=7.3616 b=7.3616 c=6.9965 alpha=58.26 beta=58.26 gamma=90.00
Sites, in units of the cell vectors:
Sr  0.5072  0.1250  0.2500
Sr  0.2428  0.6250  0.2500
Sr  0.3750  0.4928  0.7500
Sr  0.8750  0.7572  0.7500
Tl  0.0000  0.0000  0.0000
Tl  0.7500  0.2500  0.5000
O  0.5000  0.5000  0.0000
O  0.2500  0.7500  0.5000

Relative energy table, unit meV/atom: arrangement one 943; arrangement two 238; arrangement three 0